Record 1
VASP calculation (PBE) on a relaxed structure of Ac2Ce3TaN6.

Cell: 6.2772 10.9457 6.0473 Å, 90.00 110.00 90.00°
With the nearest neighbours (Å) after each atom.
Space group C2/m (No. 12)
One atom of each set of equivalent atoms:
Ac 0.0000 0.1678 0.0000 [4 per cell]  6 N 2.65-2.68
Ce 0.0000 0.0000 0.5000 [2 per cell]  4 N 2.45
Ce 0.0000 0.3389 0.5000 [4 per cell]  4 N 2.39-2.44
Ta 0.0000 0.5000 0.0000 [2 per cell]  6 N 2.22-2.27
N 0.2028 0.5000 0.7529 [4 per cell]  1 Ta 2.27, 2 Ce 2.39
N 0.2189 0.3615 0.2388 [8 per cell]  1 Ta 2.22, 2 Ce 2.44-2.45

* ΔE_f (raw): -1.23 eV per atom
* magnetization: 0.00 μB/f.u.



Record 2
VASP calculation (PBE) on a relaxed structure of CsBiPt.

Cell: 3.8608 3.8608 13.5994 Å, 90.00 90.00 90.00°
With the nearest neighbours (Å) after each atom.
Space group I4mm (No. 107)
One atom of each set of equivalent atoms:
Cs 0.0000 0.0000 0.0000 [2 per cell]  5 Bi 3.72-4.12, 4 Cs 3.86, 5 Pt 3.89-3.99
Bi 0.0000 0.0000 0.7267 [2 per cell]  4 Pt 2.85
Pt 0.0000 0.0000 0.2859 [2 per cell]  4 Bi 2.85

* ΔH_f (0 K): -213 meV/atom
* magnetization: 0.00 μB/f.u.
* relative energy among the computed polymorphs: 137 meV/atom



Record 3
VASP calculation (PBE) on a relaxed structure of GeOs3Rh.

Cell: 4.4624 4.4624 4.4624 Å, 90.00 90.00 90.00°
With the nearest neighbours (Å) after each atom.
Space group Pm-3m (No. 221)
One atom of each set of equivalent atoms:
Ge 0.0000 0.0000 0.0000 [1 per cell]  6 Os 2.23
Os 0.0000 0.0000 0.5000 [3 per cell]  2 Ge 2.23
Rh 0.5000 0.5000 0.5000 [1 per cell]  12 Os 3.16

* ΔH_f (0 K): 1887 meV/atom
* magnetization: 0.00 μB/f.u.
* relative energy among the computed polymorphs: 0 meV/atom



Record 4
VASP calculation (PBE) on a relaxed structure of In2GaCu.

Cell: 4.5278 4.5278 4.0236 Å, 90.00 90.00 90.00°
With the nearest neighbours (Å) after each atom.
Space group P4/mmm (No. 123)
One atom of each set of equivalent atoms:
In 0.0000 0.5000 0.0000 [2 per cell]  4 Cu 3.03, 4 Ga 3.03, 4 In 3.20
Ga 0.0000 0.0000 0.5000 [1 per cell]  8 In 3.03, 4 Cu 3.20
Cu 0.5000 0.5000 0.5000 [1 per cell]  8 In 3.03, 4 Ga 3.20

* ΔH_f (0 K): 154 meV/atom
* magnetization: 0.00 μB/f.u.



Record 5
VASP calculation (PBE) on a relaxed structure of Ac2SiAsPt6.

Cell: 6.0536 6.0536 11.0343 Å, 90.00 90.00 90.00°
With the nearest neighbours (Å) after each atom.
Space group I4mm (No. 107)
One atom of each set of equivalent atoms:
Ac 0.0000 0.5000 0.0000 [4 per cell]  8 Pt 3.10-3.44, 2 As 3.37
Si 0.0000 0.0000 0.3443 [2 per cell]  5 Pt 2.38-2.43
As 0.0000 0.0000 0.8658 [2 per cell]  5 Pt 2.41-2.51
Pt 0.0000 0.0000 0.0844 [2 per cell]  1 As 2.41
Pt 0.0000 0.0000 0.5602 [2 per cell]  1 Si 2.38
Pt 0.2473 0.2473 0.7443 [8 per cell]  1 Si 2.43, 1 As 2.51

* ΔE_f (raw): -0.98 eV per atom
* magnetization: 0.00 μB/f.u.



Record 6
VASP calculation (PBE) on a relaxed structure of Tb4GaS2Cl.

Cell: 7.0400 3.8963 7.0441 Å, 90.00 108.15 90.00°
With the nearest neighbours (Å) after each atom.
Space group P2/m (No. 10)
One atom of each set of equivalent atoms:
Tb 0.2285 0.0000 0.2284 [2 per cell]  3 S 2.71-2.86, 1 Ga 2.86, 2 Cl 2.97
Tb 0.2490 0.5000 0.7649 [2 per cell]  3 S 2.76-2.80, 2 Ga 2.88, 1 Cl 2.94
Ga 0.0000 0.0000 0.5000 [1 per cell]  6 Tb 2.86-2.88
S 0.0000 0.5000 0.0000 [1 per cell]  6 Tb 2.71-2.76
S 0.5000 0.0000 0.0000 [1 per cell]  6 Tb 2.80-2.86
Cl 0.5000 0.5000 0.5000 [1 per cell]  6 Tb 2.94-2.97

* ΔE_f (raw): -1.49 eV per atom
* magnetization: 0.00 μB/f.u.



Record 7
VASP calculation (PBE) on a relaxed structure of Mg3Cd4In.

Cell: 20.2751 3.3013 5.6300 Å, 90.00 104.75 90.00°
With the nearest neighbours (Å) after each atom.
Space group C2/m (No. 12)
One atom of each set of equivalent atoms:
Mg 0.0000 0.0000 0.0000 [2 per cell]  6 Cd 3.09-3.20, 4 In 3.26, 2 Mg 3.30
Mg 0.2494 0.5000 0.7546 [4 per cell]  6 Cd 3.03-3.08, 6 Mg 3.21-3.31
Cd 0.1264 0.5000 0.9678 [4 per cell]  5 Mg 3.03-3.09, 1 In 3.17, 6 Cd 3.25-3.30
Cd 0.1293 0.0000 0.4669 [4 per cell]  4 Mg 3.03-3.20, 2 In 3.14, 6 Cd 3.25-3.30
In 0.0000 0.5000 0.5000 [2 per cell]  6 Cd 3.14-3.17, 4 Mg 3.26, 2 In 3.30

* ΔH_f (0 K): -55 meV/atom
* magnetization: 0.00 μB/f.u.
* relative energy among the computed polymorphs: 4 meV/atom



Record 8
VASP calculation (PBE) on a relaxed structure of ZnBi2Au.

Cell: 5.0961 5.0961 17.7878 Å, 90.00 90.00 90.00°
With the nearest neighbours (Å) after each atom.
Space group I-42d (No. 122)
One atom of each set of equivalent atoms:
Zn 0.0000 0.0000 0.0000 [4 per cell]  4 Bi 2.87
Bi 0.2484 0.2500 0.6250 [8 per cell]  2 Au 2.86, 2 Zn 2.87
Au 0.0000 0.0000 0.5000 [4 per cell]  4 Bi 2.86

* ΔH_f (0 K): 162 meV/atom
* magnetization: 0.00 μB/f.u.



Record 9
VASP calculation (PBE) on a relaxed structure of YRe3Ge.

Cell: 4.6350 4.6350 4.6350 Å, 90.00 90.00 90.00°
With the nearest neighbours (Å) after each atom.
Space group Pm-3m (No. 221)
One atom of each set of equivalent atoms:
Y 0.0000 0.0000 0.0000 [1 per cell]  12 Re 3.28
Re 0.0000 0.5000 0.5000 [3 per cell]  2 Ge 2.32
Ge 0.5000 0.5000 0.5000 [1 per cell]  6 Re 2.32

* ΔH_f (0 K): 1108 meV/atom
* magnetization: 1.91 μB/f.u.
* relative energy among the computed polymorphs: 0 meV/atom



Record 10
VASP calculation (PBE) on a relaxed structure of LaCuIr2.

Cell: 9.3950 3.0727 5.1457 Å, 90.00 103.72 90.00°
With the nearest neighbours (Å) after each atom.
Space group C2/m (No. 12)
One atom of each set of equivalent atoms:
La 0.0000 0.0000 0.0000 [2 per cell]  6 Ir 2.99-3.00, 4 Cu 3.00, 2 La 3.07
Cu 0.0000 0.5000 0.5000 [2 per cell]  6 Ir 2.70-2.90, 4 La 3.00
Ir 0.2370 0.0000 0.7021 [4 per cell]  2 Ir 2.64, 3 Cu 2.70-2.90

* ΔH_f (0 K): -6 meV/atom
* magnetization: 0.00 μB/f.u.
* relative energy among the computed polymorphs: 392 meV/atom



Results for mass density: 9.69; 8.80; 13.95; 7.31; 14.19; 7.28; 5.81; 9.78; 12.01; 13.51 (in Mg/m³, following the order of the records).